The following is a meta-GGA SCAN calculation of a crystal of MoSeBr2 relaxed with PBEsol, from the Alexandria database.

POSCAR file:
```
MoSeBr2
1.0
1.645 -2.685 0.000
1.645 2.685 0.000
0.000 0.000 10.087
Mo Se Br
1 1 2
direct
0.000 0.000 0.000
0.500 0.500 0.179
0.000 0.000 0.487
0.500 0.500 0.800
```

Summary:
E_form (uncorrected): 6.6 kcal/mol of atoms
DFT total energy: -23.18 eV/atom
calculated density: 6.236 Mg/m³
offset from the most stable computed form: 0 meV per atom
total magnetic moment: 0.001 μB/f.u.

***

The following is a meta-GGA SCAN calculation of a crystal of TiCdH2 relaxed with PBEsol, from the Alexandria database.

POSCAR file:
```
TiCdH2
1.0
-2.182 2.182 4.640
2.182 -2.182 4.640
2.182 2.182 -4.640
Ti Cd H
2 2 4
direct
0.000 0.000 0.000
0.750 0.250 0.500
0.250 0.750 0.500
0.500 0.500 0.000
0.048 0.625 0.923
0.375 0.298 0.423
0.702 0.125 0.077
0.875 0.952 0.577
```

Summary:
DFT total energy: -13.34 eV/atom
calculated density: 6.102 Mg/m³
total magnetic moment: 0.000 μB/f.u.

***

The following is a meta-GGA SCAN calculation of a crystal of YCr2Cd relaxed with PBEsol, from the Alexandria database.

POSCAR file:
```
YCr2Cd
1.0
0.000 3.359 3.359
3.359 0.000 3.359
3.359 3.359 0.000
Y Cr Cd
1 2 1
direct
0.000 0.000 0.000
0.250 0.250 0.250
0.500 0.500 0.500
0.750 0.750 0.750
```

Summary:
DFT total energy: -23.82 eV/atom
calculated density: 6.687 Mg/m³
total magnetic moment: 0.362 μB/f.u.

***

The following is a meta-GGA SCAN calculation of a crystal of Li2OsIF relaxed with PBEsol, from the Alexandria database.

POSCAR file:
```
Li2OsIF
1.0
5.312 0.000 0.000
0.000 5.312 0.000
0.000 0.000 4.857
Li Os I F
2 1 1 1
direct
0.000 0.500 0.000
0.500 0.000 0.000
0.000 0.000 0.500
0.000 0.000 0.000
0.500 0.500 0.500
```

Summary:
E_form (uncorrected): 10.7 kcal/mol of atoms
DFT total energy: -22.93 eV/atom
calculated density: 4.241 Mg/m³
total magnetic moment: 2.044 μB/f.u.

***

The following is a meta-GGA SCAN calculation of a crystal of ZrNbCu2Rh relaxed with PBEsol, from the Alexandria database.

POSCAR file:
```
ZrNbCu2Rh
1.0
4.570 0.000 0.000
0.000 4.570 0.000
0.000 0.000 4.800
Zr Nb Cu Rh
1 1 2 1
direct
0.000 0.000 0.000
0.000 0.000 0.500
0.000 0.500 0.500
0.500 0.000 0.500
0.500 0.500 0.000
```

Summary:
DFT total energy: -24.07 eV/atom
calculated density: 6.861 Mg/m³
total magnetic moment: 0.002 μB/f.u.

***

The following is a meta-GGA SCAN calculation of a crystal of Rb relaxed with PBEsol, from the Alexandria database.

POSCAR file:
```
Rb
1.0
0.000 8.603 8.643
2.370 0.000 8.643
2.370 8.603 0.000
Rb
4
direct
0.005 0.745 0.005
0.255 0.995 0.255
0.745 0.005 0.745
0.995 0.255 0.995
```

Summary:
DFT total energy: -20.68 eV/atom
calculated density: 1.611 Mg/m³
offset from the most stable computed form: 58 meV per atom
total magnetic moment: 0.000 μB/f.u.

***

The following is a meta-GGA SCAN calculation of a crystal of Sn3P3O13 relaxed with PBEsol, from the Alexandria database.

POSCAR file:
```
Sn3P3O13
1.0
7.625 0.000 0.000
0.000 6.571 0.000
-1.196 0.000 10.896
Sn P O
6 6 26
direct
0.000 0.000 0.000
0.000 0.500 0.000
0.230 0.250 0.546
0.358 0.750 0.203
0.642 0.250 0.797
0.770 0.750 0.454
0.209 0.750 0.480
0.240 0.250 0.227
0.312 0.250 0.881
0.688 0.750 0.119
0.760 0.750 0.773
0.791 0.250 0.520
0.025 0.750 0.405
0.075 0.250 0.120
0.122 0.750 0.092
0.159 0.250 0.347
0.211 0.055 0.907
0.211 0.445 0.907
0.243 0.566 0.566
0.243 0.934 0.566
0.347 0.061 0.202
0.347 0.439 0.202
0.349 0.750 0.385
0.356 0.250 0.743
0.498 0.750 0.052
0.502 0.250 0.948
0.644 0.750 0.257
0.651 0.250 0.615
0.653 0.561 0.798
0.653 0.939 0.798
0.757 0.066 0.434
0.757 0.434 0.434
0.789 0.555 0.093
0.789 0.945 0.093
0.841 0.750 0.653
0.878 0.250 0.908
0.925 0.750 0.880
0.975 0.250 0.595
```

Summary:
E_form (uncorrected): -47.1 kcal/mol of atoms
DFT total energy: -13.62 eV/atom
calculated density: 3.998 Mg/m³
total magnetic moment: 0.000 μB/f.u.

***

The following is a meta-GGA SCAN calculation of a crystal of ZnTeP relaxed with PBEsol, from the Alexandria database.

POSCAR file:
```
ZnTeP
1.0
-1.746 1.746 5.498
1.746 -1.746 5.498
1.746 1.746 -5.498
Zn Te P
1 1 1
direct
0.000 0.000 0.000
0.273 0.273 0.000
0.495 0.495 0.000
```

Summary:
E_form (uncorrected): 3.2 kcal/mol of atoms
DFT total energy: -20.25 eV/atom
calculated density: 5.545 Mg/m³
total magnetic moment: 0.000 μB/f.u.

***

The following is a meta-GGA SCAN calculation of a crystal of ScCoRe2 relaxed with PBEsol, from the Alexandria database.

POSCAR file:
```
ScCoRe2
1.0
2.112 1.219 4.608
-2.112 1.219 4.608
0.000 -2.438 4.608
Sc Co Re
1 1 2
direct
0.000 0.000 0.000
0.500 0.500 0.500
0.193 0.193 0.193
0.807 0.807 0.807
```

Summary:
DFT total energy: -43.15 eV/atom
calculated density: 11.111 Mg/m³
offset from the most stable computed form: 464 meV per atom
total magnetic moment: 1.496 μB/f.u.

***

The following is a meta-GGA SCAN calculation of a crystal of Fe2CoAg relaxed with PBEsol, from the Alexandria database.

POSCAR file:
```
Fe2CoAg
1.0
2.586 -3.667 0.000
2.586 3.667 0.000
0.000 0.000 2.617
Fe Co Ag
2 1 1
direct
0.000 0.500 0.000
0.500 0.000 0.000
0.000 0.000 0.500
0.500 0.500 0.500
```

Summary:
DFT total energy: -20.99 eV/atom
calculated density: 9.315 Mg/m³
offset from the most stable computed form: 40 meV per atom
total magnetic moment: 7.341 μB/f.u.

***

The following is a meta-GGA SCAN calculation of a crystal of AsIr2Ru relaxed with PBEsol, from the Alexandria database.

POSCAR file:
```
AsIr2Ru
1.0
2.713 -3.772 0.000
2.713 3.772 0.000
0.000 0.000 2.779
As Ir Ru
1 2 1
direct
0.000 0.000 0.000
0.000 0.500 0.500
0.500 0.000 0.500
0.500 0.500 0.000
```

Summary:
DFT total energy: -49.12 eV/atom
calculated density: 16.359 Mg/m³
total magnetic moment: 0.000 μB/f.u.

***

The following is a meta-GGA SCAN calculation of a crystal of Fe2SiIrAu relaxed with PBEsol, from the Alexandria database.

POSCAR file:
```
Fe2SiIrAu
1.0
4.518 0.000 0.000
0.000 4.518 0.000
0.000 0.000 5.007
Fe Si Ir Au
2 1 1 1
direct
0.000 0.500 0.000
0.500 0.000 0.000
0.000 0.000 0.500
0.500 0.500 0.000
0.500 0.500 0.500
```

Summary:
E_form (uncorrected): 29.8 kcal/mol of atoms
DFT total energy: -36.01 eV/atom
calculated density: 8.593 Mg/m³
total magnetic moment: 7.490 μB/f.u.

***

The following is a meta-GGA SCAN calculation of a crystal of BTeMo2 relaxed with PBEsol, from the Alexandria database.

POSCAR file:
```
BTeMo2
1.0
0.000 3.071 3.071
3.071 0.000 3.071
3.071 3.071 0.000
B Te Mo
1 1 2
direct
0.000 0.000 0.000
0.500 0.500 0.500
0.250 0.250 0.250
0.750 0.750 0.750
```

Summary:
E_form (uncorrected): 17.5 kcal/mol of atoms
DFT total energy: -27.86 eV/atom
calculated density: 9.469 Mg/m³
total magnetic moment: 0.003 μB/f.u.

***

The following is a meta-GGA SCAN calculation of a crystal of Y5Si3C relaxed with PBEsol, from the Alexandria database.

POSCAR file:
```
Y5Si3C
1.0
8.389 0.000 0.000
-4.195 7.265 0.000
0.000 0.000 6.307
Y Si C
10 6 2
direct
0.000 0.224 0.250
0.000 0.776 0.750
0.224 0.000 0.250
0.224 0.224 0.750
0.333 0.667 0.000
0.333 0.667 0.500
0.667 0.333 0.000
0.667 0.333 0.500
0.776 0.000 0.750
0.776 0.776 0.250
0.000 0.409 0.750
0.000 0.591 0.250
0.409 0.000 0.750
0.409 0.409 0.250
0.591 0.000 0.250
0.591 0.591 0.750
0.000 0.000 0.000
0.000 0.000 0.500
```

Summary:
E_form (uncorrected): -16.6 kcal/mol of atoms
DFT total energy: -20.65 eV/atom
calculated density: 4.672 Mg/m³
total magnetic moment: 0.000 μB/f.u.

***

The following is a meta-GGA SCAN calculation of a crystal of TiH2IrRu relaxed with PBEsol, from the Alexandria database.

POSCAR file:
```
TiH2IrRu
1.0
3.507 0.000 0.000
0.000 3.507 0.000
0.000 0.000 4.955
Ti H Ir Ru
1 2 1 1
direct
0.000 0.000 0.000
0.000 0.500 0.000
0.500 0.000 0.000
0.000 0.000 0.500
0.500 0.500 0.500
```

Summary:
DFT total energy: -25.24 eV/atom
calculated density: 9.351 Mg/m³
total magnetic moment: 0.003 μB/f.u.

***

The following is a meta-GGA SCAN calculation of a crystal of CaZrAl2Tl relaxed with PBEsol, from the Alexandria database.

POSCAR file:
```
CaZrAl2Tl
1.0
5.279 0.000 0.000
0.000 5.279 0.000
0.000 0.000 4.994
Ca Zr Al Tl
1 1 2 1
direct
0.000 0.000 0.000
0.000 0.000 0.500
0.000 0.500 0.000
0.500 0.000 0.000
0.500 0.500 0.500
```

Summary:
DFT total energy: -24.28 eV/atom
calculated density: 4.650 Mg/m³
total magnetic moment: 0.000 μB/f.u.

***

The following is a meta-GGA SCAN calculation of a crystal of TlZn2Au2 relaxed with PBEsol, from the Alexandria database.

POSCAR file:
```
TlZn2Au2
1.0
-1.972 1.972 6.075
1.972 -1.972 6.075
1.972 1.972 -6.075
Tl Zn Au
1 2 2
direct
0.000 0.000 0.000
0.397 0.397 0.000
0.603 0.603 0.000
0.250 0.750 0.500
0.750 0.250 0.500
```

Summary:
DFT total energy: -47.60 eV/atom
calculated density: 12.816 Mg/m³
offset from the most stable computed form: 98 meV per atom
total magnetic moment: 0.000 μB/f.u.

***

The following is a meta-GGA SCAN calculation of a crystal of LiZnIn2 relaxed with PBEsol, from the Alexandria database.

POSCAR file:
```
LiZnIn2
1.0
4.625 -1.650 0.000
4.625 1.650 0.000
-0.845 0.000 5.161
Li Zn In
1 1 2
direct
0.000 0.000 0.000
0.258 0.258 0.775
0.509 0.509 0.537
0.749 0.749 0.226
```

Summary:
DFT total energy: -20.78 eV/atom
calculated density: 6.367 Mg/m³
total magnetic moment: 0.000 μB/f.u.

***

The following is a meta-GGA SCAN calculation of a crystal of Rb3LiAs relaxed with PBEsol, from the Alexandria database.

POSCAR file:
```
Rb3LiAs
1.0
6.262 0.000 0.000
0.000 6.262 0.000
0.000 0.000 6.262
Rb Li As
3 1 1
direct
0.000 0.000 0.500
0.000 0.500 0.000
0.500 0.000 0.000
0.000 0.000 0.000
0.500 0.500 0.500
```

Summary:
DFT total energy: -16.53 eV/atom
calculated density: 2.287 Mg/m³
total magnetic moment: 1.001 μB/f.u.

***

The following is a meta-GGA SCAN calculation of a crystal of CuRu2Cl relaxed with PBEsol, from the Alexandria database.

POSCAR file:
```
CuRu2Cl
1.0
2.802 0.000 0.000
0.000 2.810 0.000
0.000 0.000 7.381
Cu Ru Cl
1 2 1
direct
0.000 0.000 0.000
0.000 0.000 0.454
0.500 0.500 0.240
0.500 0.000 0.723
```

Summary:
E_form (uncorrected): 5.4 kcal/mol of atoms
DFT total energy: -22.97 eV/atom
calculated density: 8.607 Mg/m³
offset from the most stable computed form: 0 meV per atom
total magnetic moment: 0.000 μB/f.u.

***

The following is a meta-GGA SCAN calculation of a crystal of Sc2SiSe relaxed with PBEsol, from the Alexandria database.

POSCAR file:
```
Sc2SiSe
1.0
-1.999 2.650 3.573
1.999 -2.650 3.573
1.999 2.650 -3.573
Sc Si Se
2 1 1
direct
0.249 0.249 0.000
0.751 0.751 0.000
0.500 0.000 0.500
0.000 0.500 0.500
```

Summary:
E_form (uncorrected): -20.0 kcal/mol of atoms
DFT total energy: -15.51 eV/atom
calculated density: 4.321 Mg/m³
offset from the most stable computed form: 425 meV per atom
total magnetic moment: 0.000 μB/f.u.

***

The following is a meta-GGA SCAN calculation of a crystal of TlBNO2 relaxed with PBEsol, from the Alexandria database.

POSCAR file:
```
TlBNO2
1.0
4.022 0.000 0.000
0.000 4.022 0.000
0.000 0.000 2.924
Tl B N O
1 1 1 2
direct
0.000 0.000 0.000
0.500 0.500 0.500
0.500 0.500 0.000
0.000 0.500 0.500
0.500 0.000 0.500
```

Summary:
E_form (uncorrected): 2.9 kcal/mol of atoms
DFT total energy: -20.18 eV/atom
calculated density: 9.172 Mg/m³
total magnetic moment: 1.434 μB/f.u.

***

The following is a meta-GGA SCAN calculation of a crystal of Hf2PdC relaxed with PBEsol, from the Alexandria database.

POSCAR file:
```
Hf2PdC
1.0
-3.149 3.149 3.400
3.149 -3.149 3.400
3.149 3.149 -3.400
Hf Pd C
4 2 2
direct
0.065 0.625 0.940
0.375 0.315 0.440
0.685 0.125 0.060
0.875 0.935 0.560
0.250 0.750 0.500
0.500 0.500 0.000
0.000 0.000 0.000
0.750 0.250 0.500
```

Summary:
DFT total energy: -42.41 eV/atom
calculated density: 11.709 Mg/m³
total magnetic moment: 0.000 μB/f.u.

***

The following is a meta-GGA SCAN calculation of a crystal of ZrRuCl relaxed with PBEsol, from the Alexandria database.

POSCAR file:
```
ZrRuCl
1.0
0.000 3.061 3.061
3.061 0.000 3.061
3.061 3.061 0.000
Zr Ru Cl
1 1 1
direct
0.000 0.000 0.000
0.250 0.250 0.250
0.750 0.750 0.750
```

Summary:
E_form (uncorrected): 5.2 kcal/mol of atoms
DFT total energy: -24.28 eV/atom
calculated density: 6.590 Mg/m³
total magnetic moment: 0.687 μB/f.u.

***

The following is a meta-GGA SCAN calculation of a crystal of HgPb2Au relaxed with PBEsol, from the Alexandria database.

POSCAR file:
```
HgPb2Au
1.0
-2.587 2.587 3.622
2.587 -2.587 3.622
2.587 2.587 -3.622
Hg Pb Au
1 2 1
direct
0.000 0.000 0.000
0.250 0.750 0.500
0.750 0.250 0.500
0.500 0.500 0.000
```

Summary:
DFT total energy: -72.17 eV/atom
calculated density: 13.905 Mg/m³
offset from the most stable computed form: 92 meV per atom
total magnetic moment: 0.000 μB/f.u.

***

The following is a meta-GGA SCAN calculation of a crystal of SbAuSeN2 relaxed with PBEsol, from the Alexandria database.

POSCAR file:
```
SbAuSeN2
1.0
4.075 0.000 0.000
0.000 4.075 0.000
0.000 0.000 5.207
Sb Au Se N
1 1 1 2
direct
0.000 0.000 0.000
0.500 0.500 0.500
0.500 0.500 0.000
0.000 0.500 0.500
0.500 0.000 0.500
```

Summary:
E_form (uncorrected): 35.3 kcal/mol of atoms
DFT total energy: -27.49 eV/atom
calculated density: 8.174 Mg/m³
total magnetic moment: 2.265 μB/f.u.

***

The following is a meta-GGA SCAN calculation of a crystal of YCr2Pb relaxed with PBEsol, from the Alexandria database.

POSCAR file:
```
YCr2Pb
1.0
1.624 0.938 9.445
-1.624 0.938 9.445
0.000 -1.875 9.445
Y Cr Pb
1 2 1
direct
0.000 0.000 0.000
0.249 0.249 0.249
0.751 0.751 0.751
0.500 0.500 0.500
```

Summary:
DFT total energy: -34.63 eV/atom
calculated density: 7.698 Mg/m³
total magnetic moment: 7.582 μB/f.u.